Record 1
A geometry-optimized LaGePb structure, computed with PBE.

Calculated values
The calculated total energy comes out at -0.3677 Ry per atom. The value obtained for the formation enthalpy at 0 K is -56.4 kJ/mol of atoms. As for the volume: 171 Å³/cell. The total magnetic moment is 0.00 μB/f.u.

Unit cell a=9.789 b=9.789 c=4.034 alpha=90.00 beta=90.00 gamma=153.83
Positions (direct):
La  0.092  0.908  0.750
La  0.908  0.092  0.250
Ge  0.457  0.543  0.750
Ge  0.543  0.457  0.250
Pb  0.287  0.713  0.750
Pb  0.713  0.287  0.250

***

Record 2
A geometry-optimized RbMn3Pd structure, computed with PBE.

Calculated values
The calculated total energy comes out at -0.3240 Ry per atom. The value obtained for the formation enthalpy at 0 K is 224.3 kJ/mol of atoms. As for the volume: 110 Å³/cell. The total magnetic moment is 11.49 μB/f.u.

Unit cell a=4.785 b=4.785 c=4.785 alpha=90.00 beta=90.00 gamma=90.00
Positions (direct):
Rb  0.000  0.000  0.000
Mn  0.000  0.000  0.500
Mn  0.000  0.500  0.000
Mn  0.500  0.000  0.000
Pd  0.500  0.500  0.500

***

Record 3
A geometry-optimized H4Pb5 structure, computed with PBE.

Calculated values
The calculated total energy comes out at -0.2518 Ry per atom. As for the volume: 213 Å³/cell. The total magnetic moment is 0.00 μB/f.u.

Unit cell a=6.962 b=6.962 c=6.962 alpha=97.57 beta=97.57 gamma=137.44
Positions (direct):
H  0.000  0.459  0.459
H  0.000  0.541  0.541
H  0.459  0.000  0.459
H  0.541  0.000  0.541
Pb  0.000  0.000  0.000
Pb  0.326  0.326  0.651
Pb  0.326  0.674  0.000
Pb  0.674  0.326  0.000
Pb  0.674  0.674  0.349

***

Record 4
A geometry-optimized ScAsP structure, computed with PBE.

Calculated values
The calculated total energy comes out at -0.4203 Ry per atom. The value obtained for the formation enthalpy at 0 K is -24.6 kJ/mol of atoms. As for the volume: 57 Å³/cell. The total magnetic moment is 0.00 μB/f.u.

Unit cell a=3.409 b=3.409 c=5.634 alpha=90.00 beta=90.00 gamma=120.00
Positions (direct):
Sc  0.000  0.000  0.000
As  0.667  0.333  0.375
P  0.333  0.667  0.674

***

Record 5
A geometry-optimized BaMn2S4 structure, computed with PBE.

Calculated values
The calculated total energy comes out at -0.4523 Ry per atom. As for the volume: 292 Å³/cell. The total magnetic moment is 8.00 μB/f.u.

Unit cell a=6.354 b=6.354 c=12.494 alpha=90.00 beta=90.00 gamma=144.67
Positions (direct):
Ba  0.106  0.894  0.750
Ba  0.894  0.106  0.250
Mn  0.362  0.638  0.565
Mn  0.362  0.638  0.935
Mn  0.638  0.362  0.065
Mn  0.638  0.362  0.435
S  0.000  0.000  0.000
S  0.000  0.000  0.500
S  0.263  0.737  0.098
S  0.263  0.737  0.402
S  0.410  0.590  0.750
S  0.590  0.410  0.250
S  0.737  0.263  0.598
S  0.737  0.263  0.902

***

Record 6
A geometry-optimized CsPRu2I structure, computed with PBE.

Calculated values
The calculated total energy comes out at -0.3451 Ry per atom. As for the volume: 157 Å³/cell. The total magnetic moment is 3.03 μB/f.u.

Unit cell a=4.628 b=4.628 c=7.332 alpha=90.00 beta=90.00 gamma=90.00
Positions (direct):
Cs  0.000  0.000  0.000
P  0.000  0.000  0.500
Ru  0.000  0.500  0.500
Ru  0.500  0.000  0.500
I  0.500  0.500  0.000

***

> Which value of calculated total energy does entry 5 give?

-0.4523 Ry per atom

***

> The highest total magnetic moment belongs to which entry?

RbMn3Pd